# PBE PAuSe2, optimized geometry
data_PAuSe2
_space_group_name_H-M_alt 'P m m m'
_space_group_IT_number 47
_cell_length_a 3.261
_cell_length_b 3.315
_cell_length_c 6.932
_cell_angle_alpha 90.00
_cell_angle_beta 90.00
_cell_angle_gamma 90.00
loop_
_space_group_symop_operation_xyz
'x,y,z'
'-x,-y,-z'
'-x,-y,z'
'x,y,-z'
'x,-y,-z'
'-x,y,z'
'-x,y,-z'
'x,-y,z'
loop_
_atom_site_label
_atom_site_type_symbol
_atom_site_fract_x
_atom_site_fract_y
_atom_site_fract_z
P1 P 0.000 0.000 0.000
Au1 Au 0.000 0.000 0.500
Se1 Se 0.500 0.500 0.229
# DOS(E_F), states/eV/atom: 0.657
# Calculated total energy, eV per atom: -3.33
# Magnetic moment, μB per cell: 0.00
# Uncorrected formation energy, eV per atom: 0.59

# PBE PAu2Se, optimized geometry
data_PAu2Se
_space_group_name_H-M_alt 'C 1 m 1'
_space_group_IT_number 8
_cell_length_a 8.180
_cell_length_b 2.815
_cell_length_c 7.173
_cell_angle_alpha 90.00
_cell_angle_beta 96.80
_cell_angle_gamma 90.00
loop_
_space_group_symop_operation_xyz
'x,y,z'
'x,-y,z'
'x+1/2,y+1/2,z'
'x+1/2,-y+1/2,z'
loop_
_atom_site_label
_atom_site_type_symbol
_atom_site_fract_x
_atom_site_fract_y
_atom_site_fract_z
P1 P 0.000 0.000 0.000
Au1 Au 0.200 0.500 0.204
Au2 Au 0.417 0.000 0.466
Se1 Se 0.133 0.000 0.723
# DOS(E_F), states/eV/atom: 0.374
# Calculated total energy, eV per atom: -3.69
# Magnetic moment, μB per cell: 0.00
# Uncorrected formation energy, eV per atom: 0.17